(1)
# ScPaS4, optimized geometry, DFT PBE
data_ScPaS4
_chemical_formula_sum 'Sc2 Pa2 S8'
_cell_length_a 8.5452
_cell_length_b 8.7300
_cell_length_c 4.0352
_cell_angle_alpha 90.00
_cell_angle_beta 90.00
_cell_angle_gamma 90.00
_symmetry_space_group_name_H-M 'C m m m'
_symmetry_Int_Tables_number 65
_symmetry_space_group_name_Hall '-C 2 2'
loop_
_atom_site_label
_atom_site_fract_x
_atom_site_fract_y
_atom_site_fract_z
Sc1 0.0000 0.0000 0.0000
Pa1 0.0000 0.5000 0.5000
S1 0.0000 0.3031 0.0000
S2 0.1920 0.0000 0.5000
# V = 25.09 Å³ per atom
# spin magnetization = 0.00 μB/cell
# DFT total energy = -0.257 Ha/atom

=====

(2)
# PrSi2Ag, optimized geometry, DFT PBE
data_PrSi2Ag
_chemical_formula_sum 'Pr4 Si8 Ag4'
_cell_length_a 4.2745
_cell_length_b 17.7050
_cell_length_c 4.2400
_cell_angle_alpha 90.00
_cell_angle_beta 90.00
_cell_angle_gamma 90.00
_symmetry_space_group_name_H-M 'C m c m'
_symmetry_Int_Tables_number 63
_symmetry_space_group_name_Hall '-C 2c 2'
loop_
_atom_site_label
_atom_site_fract_x
_atom_site_fract_y
_atom_site_fract_z
Pr1 0.0000 0.0969 0.2500
Si1 0.0000 0.3350 0.2500
Si2 0.0000 0.4668 0.2500
Ag1 0.0000 0.2480 0.7500
# V = 20.06 Å³ per atom
# spin magnetization = 0.00 μB/cell
# DFT total energy = -0.188 Ha/atom

=====

(3)
# LiSiSe2, optimized geometry, DFT PBE
data_LiSiSe2
_chemical_formula_sum 'Li2 Si2 Se4'
_cell_length_a 3.3899
_cell_length_b 3.6613
_cell_length_c 12.7185
_cell_angle_alpha 90.00
_cell_angle_beta 90.00
_cell_angle_gamma 90.00
_symmetry_space_group_name_H-M 'I m m 2'
_symmetry_Int_Tables_number 44
loop_
_symmetry_equiv_pos_as_xyz
'x,y,z'
'-x,-y,z'
'-x,y,z'
'x,-y,z'
'x+1/2,y+1/2,z+1/2'
'-x+1/2,-y+1/2,z+1/2'
'-x+1/2,y+1/2,z+1/2'
'x+1/2,-y+1/2,z+1/2'
loop_
_atom_site_label
_atom_site_fract_x
_atom_site_fract_y
_atom_site_fract_z
Li1 0.0000 0.0000 0.0000
Si1 0.0000 0.5000 0.2355
Se1 0.0000 0.0000 0.5901
Se2 0.0000 0.5000 0.8216
# V = 19.73 Å³ per atom
# spin magnetization = 0.00 μB/cell
# DFT total energy = -0.145 Ha/atom

=====

(4)
# Ce2AlGa3Ni4, optimized geometry, DFT PBE
data_Ce2AlGa3Ni4
_chemical_formula_sum 'Ce2 Al1 Ga3 Ni4'
_cell_length_a 4.0798
_cell_length_b 4.0798
_cell_length_c 10.1082
_cell_angle_alpha 90.00
_cell_angle_beta 90.00
_cell_angle_gamma 90.00
_symmetry_space_group_name_H-M 'P -4 m 2'
_symmetry_Int_Tables_number 115
loop_
_symmetry_equiv_pos_as_xyz
'x,y,z'
'y,-x,-z'
'-x,-y,z'
'-y,x,-z'
'-x,y,z'
'-y,-x,-z'
'x,-y,z'
'y,x,-z'
loop_
_atom_site_label
_atom_site_fract_x
_atom_site_fract_y
_atom_site_fract_z
Ce1 0.0000 0.5000 0.2496
Al1 0.0000 0.0000 0.5000
Ga1 0.0000 0.5000 0.8742
Ga2 0.5000 0.5000 0.5000
Ni1 0.0000 0.0000 0.0000
Ni2 0.0000 0.5000 0.6362
Ni3 0.5000 0.5000 0.0000
# V = 16.83 Å³ per atom
# spin magnetization = 0.70 μB/cell
# DFT total energy = -0.196 Ha/atom

=====

(5)
# Ac2SbTe3, optimized geometry, DFT PBE
data_Ac2SbTe3
_chemical_formula_sum 'Ac2 Sb1 Te3'
_cell_length_a 4.5939
_cell_length_b 4.5939
_cell_length_c 9.8165
_cell_angle_alpha 90.00
_cell_angle_beta 90.00
_cell_angle_gamma 90.00
_symmetry_space_group_name_H-M 'P -4 m 2'
_symmetry_Int_Tables_number 115
loop_
_symmetry_equiv_pos_as_xyz
'x,y,z'
'y,-x,-z'
'-x,-y,z'
'-y,x,-z'
'-x,y,z'
'-y,-x,-z'
'x,-y,z'
'y,x,-z'
loop_
_atom_site_label
_atom_site_fract_x
_atom_site_fract_y
_atom_site_fract_z
Ac1 0.0000 0.5000 0.2231
Sb1 0.0000 0.0000 0.5000
Te1 0.0000 0.5000 0.8705
Te2 0.5000 0.5000 0.5000
# V = 34.53 Å³ per atom
# spin magnetization = 0.00 μB/cell
# DFT total energy = -0.182 Ha/atom

=====

(6)
# Ba2ErCuO4, optimized geometry, DFT PBE
data_Ba2ErCuO4
_chemical_formula_sum 'Ba4 Er2 Cu2 O8'
_cell_length_a 6.1380
_cell_length_b 6.1380
_cell_length_c 7.7765
_cell_angle_alpha 90.00
_cell_angle_beta 90.00
_cell_angle_gamma 90.00
_symmetry_space_group_name_H-M 'I -4'
_symmetry_Int_Tables_number 82
loop_
_symmetry_equiv_pos_as_xyz
'x,y,z'
'y,-x,-z'
'-x,-y,z'
'-y,x,-z'
'x+1/2,y+1/2,z+1/2'
'y+1/2,-x+1/2,-z+1/2'
'-x+1/2,-y+1/2,z+1/2'
'-y+1/2,x+1/2,-z+1/2'
loop_
_atom_site_label
_atom_site_fract_x
_atom_site_fract_y
_atom_site_fract_z
Ba1 0.0000 0.0000 0.0000
Ba2 0.0000 0.5000 0.2500
Er1 0.0000 0.0000 0.5000
Cu1 0.0000 0.5000 0.7500
O1 0.1852 0.2369 0.6398
# V = 18.31 Å³ per atom
# spin magnetization = 0.08 μB/cell
# DFT total energy = -0.230 Ha/atom